# BaSi2H8

Crystalline BaSi2H8 at its relaxed geometry (PBE, the Alexandria database).

a = 5.1133 Å, b = 6.3668 Å, c = 6.3668 Å
α = 40.36°, β = 68.30°, γ = 68.30°
With the nearest neighbours (Å) after each atom.
Atoms (fractional coordinates):
1 Ba 0.0000 0.0000 0.0000  10 H 2.57-2.76
2 Si 0.7323 0.7922 0.7922  4 H 1.53-1.60
3 Si 0.2677 0.2078 0.2078  4 H 1.53-1.60
4 H 0.3108 0.3829 0.8510  1 Si 1.55
5 H 0.6892 0.1490 0.6171  1 Si 1.55
6 H 0.4307 0.7949 0.7949  1 Si 1.53
7 H 0.5693 0.2051 0.2051  1 Si 1.53
8 H 0.3108 0.8510 0.3829  1 Si 1.55
9 H 0.6892 0.6171 0.1490  1 Si 1.55
10 H 0.8749 0.6464 0.6464  1 Si 1.60
11 H 0.1251 0.3536 0.3536  1 Si 1.60

## Properties
Electronic total energy ... -39.066 eV for the cell shown
Total magnetization ... 0.000 μB/f.u.

# TlBr2

Crystalline TlBr2 at its relaxed geometry (PBE, the Alexandria database).

a = 11.6120 Å, b = 11.6120 Å, c = 4.3705 Å
α = 90.00°, β = 90.00°, γ = 158.59°
With the nearest neighbours (Å) after each atom.
Atoms (fractional coordinates):
1 Tl 0.1174 0.8826 0.7500  4 Br 3.17
2 Tl 0.8826 0.1174 0.2500  4 Br 3.17
3 Br 0.7500 0.2500 0.7500  4 Br 3.07
4 Br 0.4179 0.5821 0.7500  4 Tl 3.17
5 Br 0.2500 0.7500 0.2500  4 Br 3.07
6 Br 0.5821 0.4179 0.2500  4 Tl 3.17

## Properties
Electronic total energy ... -14.010 eV for the cell shown
Formation energy from raw total energies ... -0.43 eV/atom
Total magnetization ... 0.000 μB/f.u.

# AlBIr2

Crystalline AlBIr2 at its relaxed geometry (PBE, the Alexandria database).

a = 4.0978 Å, b = 4.0978 Å, c = 4.0978 Å
α = 60.00°, β = 60.00°, γ = 60.00°
With the nearest neighbours (Å) after each atom.
Atoms (fractional coordinates):
1 B 0.0000 0.0000 0.0000  8 Ir 2.51
2 Ir 0.2500 0.2500 0.2500  4 Al 2.51, 4 B 2.51
3 Ir 0.7500 0.7500 0.7500  4 Al 2.51, 4 B 2.51
4 Al 0.5000 0.5000 0.5000  8 Ir 2.51

## Properties
Electronic total energy ... -28.763 eV for the cell shown
Distance to the lowest polymorph of the same formula ... 186 meV per atom
Total magnetization ... 0.000 μB/f.u.

# CeNdSm6Dy2

Crystalline CeNdSm6Dy2 at its relaxed geometry (PBE, the Alexandria database).

a = 8.9703 Å, b = 6.8590 Å, c = 6.6658 Å
α = 120.96°, β = 102.40°, γ = 90.00°
With the nearest neighbours (Å) after each atom.
Atoms (fractional coordinates):
1 Ce 0.0000 0.5000 0.0000  6 Sm 3.45-3.65, 4 Dy 3.77
2 Nd 0.5000 0.0000 0.0000  4 Sm 3.35, 2 Dy 3.43
3 Sm 0.4155 0.6286 0.2572  7 Sm 3.63-3.92, 1 Ce 3.65, 2 Nd 3.88
4 Sm 0.1973 0.0680 0.6590  2 Dy 3.22-3.48, 3 Sm 3.27-3.59, 1 Nd 3.35, 1 Ce 3.45
5 Sm 0.8027 0.4090 0.3410  2 Dy 3.22-3.48, 3 Sm 3.27-3.59, 1 Nd 3.35, 1 Ce 3.45
6 Sm 0.1973 0.5910 0.6590  2 Dy 3.22-3.48, 3 Sm 3.27-3.59, 1 Nd 3.35, 1 Ce 3.45
7 Sm 0.8027 0.9320 0.3410  2 Dy 3.22-3.48, 3 Sm 3.27-3.59, 1 Nd 3.35, 1 Ce 3.45
8 Sm 0.5845 0.3714 0.7428  7 Sm 3.63-3.92, 1 Ce 3.65, 2 Nd 3.88
9 Dy 0.1628 0.0903 0.1806  1 Dy 3.13, 4 Sm 3.22-3.48, 1 Nd 3.43
10 Dy 0.8372 0.9097 0.8194  1 Dy 3.13, 4 Sm 3.22-3.48, 1 Nd 3.43

## Properties
Electronic total energy ... -45.775 eV for the cell shown
Total magnetization ... 1.567 μB/f.u.

# Pr5NdSm2Y

Crystalline Pr5NdSm2Y at its relaxed geometry (PBE, the Alexandria database).

a = 9.0245 Å, b = 9.0245 Å, c = 10.1498 Å
α = 116.40°, β = 116.40°, γ = 90.00°
With the nearest neighbours (Å) after each atom.
Atoms (fractional coordinates):
1 Pr 0.9288 0.4288 0.2763  1 Sm 3.13, 1 Y 3.20
2 Pr 0.6525 0.1525 0.7237  1 Sm 3.13, 1 Y 3.20
3 Pr 0.0712 0.5712 0.7237  1 Sm 3.13, 1 Y 3.20
4 Pr 0.1525 0.0712 0.7237  1 Sm 3.13, 1 Y 3.20
5 Pr 0.5712 0.6525 0.7237  1 Sm 3.13, 1 Y 3.20
6 Pr 0.8475 0.9288 0.2763  1 Sm 3.13, 1 Y 3.20
7 Pr 0.4288 0.3475 0.2763  1 Sm 3.13, 1 Y 3.20
8 Pr 0.3475 0.8475 0.2763  1 Sm 3.13, 1 Y 3.20
9 Pr 0.5000 0.5000 0.0000  4 Sm 3.62, 8 Pr 3.90, 2 Nd 3.95
10 Pr 0.0000 0.0000 0.0000  4 Sm 3.62, 8 Pr 3.90, 2 Nd 3.95
11 Nd 0.2500 0.2500 0.5000  10 Pr 3.68-3.95
12 Nd 0.7500 0.7500 0.5000  10 Pr 3.68-3.95
13 Sm 0.1152 0.3848 0.0000  1 Sm 2.94, 2 Pr 3.13
14 Sm 0.6152 0.1152 0.0000  1 Sm 2.94, 2 Pr 3.13
15 Sm 0.3848 0.8848 0.0000  1 Sm 2.94, 2 Pr 3.13
16 Sm 0.8848 0.6152 0.0000  1 Sm 2.94, 2 Pr 3.13
17 Y 0.2500 0.7500 0.5000  4 Pr 3.20
18 Y 0.7500 0.2500 0.5000  4 Pr 3.20

## Properties
Electronic total energy ... -84.144 eV for the cell shown
Total magnetization ... 0.000 μB/f.u.

# Gd2TlPd

Crystalline Gd2TlPd at its relaxed geometry (PBE, the Alexandria database).

a = 3.5917 Å, b = 3.5917 Å, c = 7.7983 Å
α = 90.00°, β = 90.00°, γ = 90.00°
With the nearest neighbours (Å) after each atom.
Atoms (fractional coordinates):
1 Tl 0.5000 0.5000 0.0000  8 Gd 3.34, 4 Tl 3.59
2 Gd 0.0000 0.0000 0.7227  4 Pd 3.08, 4 Tl 3.34
3 Gd 0.0000 0.0000 0.2773  4 Pd 3.08, 4 Tl 3.34
4 Pd 0.5000 0.5000 0.5000  8 Gd 3.08

## Properties
Electronic total energy ... -38.137 eV for the cell shown
Distance to the lowest polymorph of the same formula ... 0 meV per atom
Total magnetization ... 14.262 μB/f.u.

# Dy3Al2Ag7

Crystalline Dy3Al2Ag7 at its relaxed geometry (PBE, the Alexandria database).

a = 4.1621 Å, b = 4.1621 Å, c = 14.9237 Å
α = 98.02°, β = 98.02°, γ = 90.00°
With the nearest neighbours (Å) after each atom.
Atoms (fractional coordinates):
1 Dy 0.3270 0.3270 0.6539  5 Ag 2.99-3.31, 4 Al 3.15
2 Dy 0.6730 0.6730 0.3461  5 Ag 2.99-3.31, 4 Al 3.15
3 Dy 0.5000 0.5000 0.0000  12 Ag 2.94-3.11
4 Al 0.1347 0.1347 0.2695  5 Ag 2.63-2.64
5 Al 0.8653 0.8653 0.7305  5 Ag 2.63-2.64
6 Ag 0.0000 0.0000 0.0000  4 Dy 2.94, 8 Ag 3.11
7 Ag 0.9209 0.4209 0.8418  2 Al 2.64, 4 Ag 2.94
8 Ag 0.4209 0.9209 0.8418  2 Al 2.64, 4 Ag 2.94
9 Ag 0.0791 0.5791 0.1582  2 Al 2.64, 4 Ag 2.94
10 Ag 0.5791 0.0791 0.1582  2 Al 2.64, 4 Ag 2.94
11 Ag 0.2247 0.2247 0.4493  1 Al 2.63
12 Ag 0.7753 0.7753 0.5507  1 Al 2.63

## Properties
Electronic total energy ... -43.398 eV for the cell shown
Total magnetization ... 0.000 μB/f.u.